Record 1
## HgPSeCl2 (PBE)

Data for a geometry-optimized HgPSeCl2 structure.

Computed properties:
Its total magnetization is 1.46 μB per formula unit. As for the energy above the lowest structure with this stoichiometry: 0.0 meV/atom. The crystal system is tetragonal. The total energy comes out at -11.01 eV/f.u. As for the volume: 26.87 Å³/atom. As for the space-group type: P4/mmm.

abc: 5.1089 5.1089 5.1481
angles: 90.00 90.00 90.00
Last column: nearest neighbours and their distance in Å.
Element x y z (fractional)
1 Hg 0.0000 0.0000 0.0000  4 P 3.61, 8 Cl 3.63
2 P 0.5000 0.5000 0.0000  2 Se 2.57
3 Se 0.5000 0.5000 0.5000  4 Cl 2.55, 2 P 2.57
4 Cl 0.0000 0.5000 0.5000  2 Se 2.55
5 Cl 0.5000 0.0000 0.5000  2 Se 2.55

Record 2
## HgP2SeCl (PBE)

Data for a geometry-optimized HgP2SeCl structure.

Computed properties:
Its total magnetization is 1.39 μB per formula unit. As for the energy above the lowest structure with this stoichiometry: 0.0 meV/atom. The crystal system is tetragonal. The total energy comes out at -12.45 eV/f.u. As for the volume: 25.03 Å³/atom. As for the space-group type: P4/mmm.

abc: 4.9252 4.9252 5.1599
angles: 90.00 90.00 90.00
Last column: nearest neighbours and their distance in Å.
Element x y z (fractional)
1 Hg 0.0000 0.0000 0.0000  4 Cl 3.48, 8 P 3.57
2 P 0.0000 0.5000 0.5000  2 Se 2.46
3 P 0.5000 0.0000 0.5000  2 Se 2.46
4 Se 0.5000 0.5000 0.5000  4 P 2.46, 2 Cl 2.58
5 Cl 0.5000 0.5000 0.0000  2 Se 2.58

Record 3
## Hg4PSeCl2 (PBE)

Data for a geometry-optimized Hg4PSeCl2 structure.

Computed properties:
Its total magnetization is 0.00 μB per formula unit. The crystal system is orthorhombic. The total energy comes out at -14.63 eV/f.u. As for the volume: 25.77 Å³/atom. As for the space-group type: Imma.

abc: 8.6288 8.6288 8.6288
angles: 125.64 124.95 81.05
Last column: nearest neighbours and their distance in Å.
Element x y z (fractional)
1 Hg 0.2516 0.2343 0.0173  2 P 2.71, 2 Cl 2.91
2 Hg 0.2830 0.7657 0.5173  2 P 2.71, 2 Cl 2.91
3 Hg 0.2954 0.2863 0.4909  1 P 2.68, 2 Se 2.82, 2 Cl 2.92
4 Hg 0.2954 0.8045 0.0091  1 P 2.68, 2 Se 2.82, 2 Cl 2.92
5 Hg 0.7046 0.1955 0.9909  1 P 2.68, 2 Se 2.82, 2 Cl 2.92
6 Hg 0.7046 0.7137 0.5091  1 P 2.68, 2 Se 2.82, 2 Cl 2.92
7 Hg 0.7170 0.2343 0.4827  2 P 2.71, 2 Cl 2.91
8 Hg 0.7484 0.7657 0.9827  2 P 2.71, 2 Cl 2.91
9 P 0.5000 0.0000 0.0000  6 Hg 2.68-2.71
10 P 0.5000 0.5000 0.5000  6 Hg 2.68-2.71
11 Se 0.0000 0.0000 0.0000  6 Hg 2.82-3.08
12 Se 0.5000 0.0000 0.5000  6 Hg 2.82-3.08
13 Cl 0.0000 0.0000 0.5000  4 Hg 2.91
14 Cl 0.0000 0.5000 0.0000  4 Hg 2.91
15 Cl 0.0000 0.5000 0.5000  4 Hg 2.92
16 Cl 0.5000 0.5000 0.0000  4 Hg 2.92

Record-wise ΔE_f (raw) values, in eV per formula unit: 1.9, 4.0, -0.8